TaSbRh2 | meta-GGA SCAN | PBEsol geometry

Properties
total energy = -172.628 eV per cell
DOS(E_F) = 1.4 states/eV/f.u.

Unit cell a=3.962 b=3.962 c=4.938 alpha=113.65 beta=113.65 gamma=90.00
Fractional positions:
Rh (0.000, 0.000, 0.000)
Rh (0.750, 0.250, 0.500)
Sb (0.500, 0.500, 0.000)
Ta (0.250, 0.750, 0.500)